Entry 1:
Computed, not measured: a relaxed BaRh4 crystal at the GGA-PBE level of DFT.

formation enthalpy at 0 K	2170	meV/atom
Fermi-level density of states	9.021	states/eV per cell

a b c (Å): 4.9868 4.9868 4.9868
angles (deg): 90.00 90.00 90.00
Space group Pm-3m (No. 221)
Inequivalent atoms, fractional coordinates:
Ba: 0.0000 0.0000 0.0000 (multiplicity 1)
Rh: 0.0000 0.0000 0.5000 (multiplicity 3)
Rh: 0.5000 0.5000 0.5000 (multiplicity 1)



Entry 2:
Computed, not measured: a relaxed BaRh crystal at the GGA-PBE level of DFT.

formation enthalpy at 0 K	225	meV/atom
Fermi-level density of states	17.053	states/eV per cell

a b c (Å): 6.4070 6.4070 6.0617
angles (deg): 90.00 90.00 90.00
Space group P4_2/mnm (No. 136)
Inequivalent atoms, fractional coordinates:
Ba: 0.2036 0.2036 0.0000 (multiplicity 4)
Rh: 0.1484 0.1484 0.5000 (multiplicity 4)



Entry 3:
Computed, not measured: a relaxed BaRh6 crystal at the GGA-PBE level of DFT.

formation enthalpy at 0 K	350	meV/atom
Fermi-level density of states	20.373	states/eV per cell

a b c (Å): 6.8478 6.8478 6.8478
angles (deg): 90.00 90.00 90.00
Space group Im-3m (No. 229)
Inequivalent atoms, fractional coordinates:
Ba: 0.0000 0.0000 0.0000 (multiplicity 2)
Rh: 0.0000 0.2500 0.5000 (multiplicity 12)



Entry 4:
Computed, not measured: a relaxed BaRh2 crystal at the GGA-PBE level of DFT.

formation enthalpy at 0 K	172	meV/atom
Fermi-level density of states	19.716	states/eV per cell

a b c (Å): 13.0861 4.0027 6.0770
angles (deg): 90.00 117.60 90.00
Space group C2/m (No. 12)
Inequivalent atoms, fractional coordinates:
Ba: 0.1744 0.0000 0.1746 (multiplicity 4)
Rh: 0.9999 0.5000 0.2850 (multiplicity 4)
Rh: 0.1080 0.0000 0.6086 (multiplicity 4)